Record 1
VASP calculation (PBE-GGA) on an optimized crystal structure of Pr5DyEr2Tm.

```
18
Lattice="-4.141 1.165 3.635 8.506 -2.248 6.047 2.819 10.368 -0.111" Properties=species:S:1:pos:R:3 pbc="T T T"
Er 5.164 7.611 7.806
Er 3.594 1.795 7.882
Er 3.541 7.310 1.691
Er 2.313 2.753 1.752
Pr 0.228 0.101 0.227
Pr 4.478 2.323 4.357
Pr 4.967 -1.071 6.002
Pr 8.361 6.116 7.565
Pr 0.916 5.573 3.620
Pr 1.140 2.050 5.004
Pr -1.200 3.088 2.006
Pr 3.065 8.284 5.199
Pr 5.802 6.346 4.576
Pr 5.627 4.299 9.396
Dy 2.584 -0.546 3.118
Dy 3.253 4.877 6.505
Tm 6.544 3.512 6.329
Tm 1.874 10.315 3.193
```

Results
**Formation enthalpy at 0 K**: 1.3 eV per formula unit
**Calculated density**: 7304 kg/m3


Record 2
VASP calculation (PBE-GGA) on an optimized crystal structure of K2Zn3Ag4.

```
18
Lattice="-4.308 0.278 -4.987 2.461 -4.964 -6.764 -6.777 -5.395 1.191" Properties=species:S:1:pos:R:3 pbc="T T T"
K -4.435 -5.178 -2.790
K -0.025 -4.949 -7.008
K -4.188 -4.903 -7.771
K -8.599 -5.132 -3.552
Zn -2.156 -2.520 -2.640
Zn -8.494 -7.655 -6.175
Zn -0.130 -2.426 -4.385
Zn -4.182 -2.615 -0.895
Zn -4.441 -7.466 -9.666
Zn -6.468 -7.561 -7.920
Ag -4.471 -1.509 -3.475
Ag -2.696 -3.347 -5.111
Ag -8.784 -8.470 -8.861
Ag -2.698 -6.745 -5.298
Ag -5.925 -3.336 -5.263
Ag -5.928 -6.734 -5.450
Ag -4.153 -8.572 -7.086
Ag 0.161 -1.611 -1.700
```

Results
**Formation enthalpy at 0 K**: 0.5 eV per formula unit
**Calculated density**: 5470 kg/m3


Record 3
VASP calculation (PBE-GGA) on an optimized crystal structure of SrRe2Ir.

```
4
Lattice="-3.578 -4.117 0.085 2.463 1.311 -4.688 2.020 -1.743 0.573" Properties=species:S:1:pos:R:3 pbc="T T T"
Re -0.558 -1.403 -2.302
Re 0.000 0.000 0.000
Ir 2.241 -0.216 -2.057
Sr -0.779 -2.930 0.329
```

Results
**Formation enthalpy at 0 K**: 4.1 eV per formula unit
**Calculated density**: 15308 kg/m3


Record 4
VASP calculation (PBE-GGA) on an optimized crystal structure of MgAlHRh2.

```
5
Lattice="4.079 0.000 0.000 0.000 3.620 0.000 0.000 0.000 4.079" Properties=species:S:1:pos:R:3 pbc="T T T"
Mg 0.000 1.810 0.000
H 0.000 0.000 0.000
Rh 2.039 0.000 0.000
Rh 0.000 0.000 2.039
Al 2.039 1.810 2.039
```

Results
**Total energy**: -5.215 eV/atom
**Calculated density**: 7117 kg/m3


Record 5
VASP calculation (PBE-GGA) on an optimized crystal structure of Nd3SmZn8.

```
12
Lattice="-3.929 -3.218 -2.309 -2.313 -4.131 2.952 -8.486 3.250 3.170" Properties=species:S:1:pos:R:3 pbc="T T T"
Zn -10.523 -2.599 1.306
Zn -9.716 -3.054 3.931
Zn -12.245 -2.008 3.413
Zn -5.486 -4.663 2.353
Zn -4.332 -2.601 0.879
Zn -6.293 -4.207 -0.273
Zn -11.677 -4.659 2.779
Zn -4.883 0.044 1.508
Nd -8.485 3.249 3.170
Nd -9.769 0.090 3.016
Nd -7.369 -2.045 1.909
Sm -8.639 -5.217 1.749
```

Results
**Formation enthalpy at 0 K**: -3.9 eV per formula unit
**Calculated density**: 7514 kg/m3


Record 6
VASP calculation (PBE-GGA) on an optimized crystal structure of Mn2ZnSb.

```
4
Lattice="4.817 -0.001 -0.005 1.485 4.582 0.005 -3.147 -2.297 2.833" Properties=species:S:1:pos:R:3 pbc="T T T"
Mn 3.150 2.290 0.000
Mn 0.001 0.001 0.000
Sb 2.411 -0.004 1.414
Zn 0.745 2.288 1.419
```

Results
**Energy relative to the elements, uncorrected**: 0.1493 eV/atom
**Calculated density**: 7889 kg/m3


Record 7
VASP calculation (PBE-GGA) on an optimized crystal structure of Li2LaCl.

```
4
Lattice="3.447 0.000 0.000 0.000 3.447 0.000 0.000 0.000 7.595" Properties=species:S:1:pos:R:3 pbc="T T T"
Li 1.724 1.723 2.051
Li 0.000 0.000 0.383
La 1.724 1.723 5.606
Cl 0.000 0.000 3.353
```

Results
**Energy relative to the elements, uncorrected**: -0.6117 eV/atom
**Calculated density**: 3464 kg/m3


Record 8
VASP calculation (PBE-GGA) on an optimized crystal structure of Sc5Be.

```
6
Lattice="2.172 -6.800 0.000 2.172 6.800 0.000 0.000 0.000 4.392" Properties=species:S:1:pos:R:3 pbc="T T T"
Sc 2.172 4.691 0.000
Sc 2.172 -4.691 0.000
Sc 2.172 -2.252 2.196
Sc 2.172 2.252 2.196
Sc 0.000 0.000 2.196
Be 2.172 0.000 0.000
```

Results
**Formation enthalpy at 0 K**: 0.8 eV per formula unit
**Calculated density**: 2993 kg/m3


Record 9
VASP calculation (PBE-GGA) on an optimized crystal structure of Sm2ScCu.

```
4
Lattice="-0.803 2.014 2.821 -3.022 1.011 -1.582 -3.890 -6.309 3.399" Properties=species:S:1:pos:R:3 pbc="T T T"
Cu -1.912 1.513 0.619
Sc -3.857 -1.641 2.319
Sm -3.057 -4.957 2.670
Sm -0.834 -1.352 0.728
```

Results
**Formation enthalpy at 0 K**: -0.2 eV per formula unit
**Calculated density**: 6584 kg/m3


Record 10
VASP calculation (PBE-GGA) on an optimized crystal structure of LaMgCuI2.

```
5
Lattice="6.272 0.000 0.000 0.000 5.735 0.000 0.000 0.000 6.272" Properties=species:S:1:pos:R:3 pbc="T T T"
I 0.000 0.000 3.136
I 3.136 0.000 0.000
Cu 0.000 2.868 0.000
La 0.000 0.000 0.000
Mg 3.136 2.868 3.136
```

Results
**Energy relative to the elements, uncorrected**: -0.1584 eV/atom
**Calculated density**: 3537 kg/m3


Record 11
VASP calculation (PBE-GGA) on an optimized crystal structure of Ca2PbO.

```
4
Lattice="-1.432 -2.955 1.523 1.455 -1.365 3.020 -4.704 3.060 5.818" Properties=species:S:1:pos:R:3 pbc="T T T"
O -2.340 -0.631 5.180
Ca -3.147 -1.293 7.438
Ca -1.534 0.032 2.922
Pb 0.000 0.000 0.000
```

Results
**Energy relative to the elements, uncorrected**: -1.6147 eV/atom
**Calculated density**: 5686 kg/m3


Record 12
VASP calculation (PBE-GGA) on an optimized crystal structure of ErZnSi.

```
3
Lattice="-1.041 3.276 -2.023 -1.135 -2.321 -3.174 -2.709 0.941 2.919" Properties=species:S:1:pos:R:3 pbc="T T T"
Er -2.354 0.951 -2.492
Zn -2.358 0.401 0.550
Si -0.173 0.545 -0.337
```

Results
**Energy relative to the elements, uncorrected**: -0.6036 eV/atom
**Calculated density**: 7485 kg/m3